Entry 1:
Computed, not measured: an optimized crystal structure of Er2S2F at the PBE level of DFT.

Output
The value obtained for the relative energy among the computed polymorphs is 6.92 eV per formula unit. The value obtained for the density of states at the Fermi level is 0.873 states/eV per atom. As for the crystal system: tetragonal. For the raw formation energy, the calculation gives -866 meV per atom. The calculation puts the uncorrected energy at -4.7162 eV/atom.

a = 3.5895 Å, b = 3.5895 Å, c = 11.2258 Å
α = 90.00°, β = 90.00°, γ = 90.00°
Element x y z (fractional)
Er: 0.0000 0.0000 0.1911
Er: 0.0000 0.0000 0.8089
S: 0.0000 0.0000 0.4128
S: 0.0000 0.0000 0.5871
F: 0.0000 0.0000 0.0000

---

Entry 2:
Computed, not measured: an optimized crystal structure of SrErS2F at the PBE level of DFT.

Output
The value obtained for the density of states at the Fermi level is 0.223 states/eV per atom. As for the crystal system: tetragonal. For the raw formation energy, the calculation gives -2589 meV per atom. The calculation puts the uncorrected energy at -5.8629 eV/atom.

a = 3.9575 Å, b = 3.9575 Å, c = 14.0349 Å
α = 90.00°, β = 90.00°, γ = 90.00°
Element x y z (fractional)
Sr: 0.2500 0.2500 0.1066
Sr: 0.7500 0.7500 0.8934
Er: 0.2500 0.2500 0.6188
Er: 0.7500 0.7500 0.3812
S: 0.2500 0.2500 0.4106
S: 0.2500 0.2500 0.7943
S: 0.7500 0.7500 0.2057
S: 0.7500 0.7500 0.5894
F: 0.2500 0.7500 0.0000
F: 0.7500 0.2500 0.0000

---

Entry 3:
Computed, not measured: an optimized crystal structure of ErSc2F at the PBE level of DFT.

Output
The value obtained for the density of states at the Fermi level is 1.257 states/eV per atom. As for the crystal system: trigonal. For the raw formation energy, the calculation gives -1072 meV per atom. The calculation puts the uncorrected energy at -5.8459 eV/atom.

a = 8.3380 Å, b = 8.3380 Å, c = 8.3380 Å
α = 23.75°, β = 23.75°, γ = 23.75°
Element x y z (fractional)
Er: 0.0000 0.0000 0.0000
Sc: 0.2232 0.2232 0.2232
Sc: 0.7768 0.7768 0.7768
F: 0.5000 0.5000 0.5000

---

Entry 4:
Computed, not measured: an optimized crystal structure of ErSc2F8 at the PBE level of DFT.

Output
The value obtained for the density of states at the Fermi level is 0.263 states/eV per atom. As for the crystal system: monoclinic. For the raw formation energy, the calculation gives -3789 meV per atom. The calculation puts the uncorrected energy at -6.7157 eV/atom.

a = 5.6350 Å, b = 5.6350 Å, c = 5.2787 Å
α = 101.81°, β = 101.81°, γ = 74.16°
Element x y z (fractional)
Er: 0.0000 0.0000 0.0000
Sc: 0.3301 0.3301 0.5606
Sc: 0.6699 0.6699 0.4394
F: 0.0512 0.6577 0.7058
F: 0.1628 0.1628 0.7725
F: 0.3423 0.9488 0.2942
F: 0.4340 0.4340 0.2475
F: 0.5660 0.5660 0.7525
F: 0.6577 0.0512 0.7058
F: 0.8372 0.8372 0.2275
F: 0.9488 0.3423 0.2942

---

Entry 5:
Computed, not measured: an optimized crystal structure of Er2ScF at the PBE level of DFT.

Output
The value obtained for the density of states at the Fermi level is 0.892 states/eV per atom. As for the crystal system: trigonal. For the raw formation energy, the calculation gives -1103 meV per atom. The calculation puts the uncorrected energy at -5.4354 eV/atom.

a = 8.3914 Å, b = 8.3914 Å, c = 8.3914 Å
α = 24.62°, β = 24.62°, γ = 24.62°
Element x y z (fractional)
Er: 0.2265 0.2265 0.2265
Er: 0.7735 0.7735 0.7735
Sc: 0.0000 0.0000 0.0000
F: 0.5000 0.5000 0.5000

---

Entry 6:
Computed, not measured: an optimized crystal structure of ErSeF2 at the PBE level of DFT.

Output
The value obtained for the relative energy among the computed polymorphs is 0.29 eV per formula unit. The value obtained for the density of states at the Fermi level is 0.176 states/eV per atom. As for the crystal system: orthorhombic. For the raw formation energy, the calculation gives -2633 meV per atom. The calculation puts the uncorrected energy at -5.5800 eV/atom.

a = 7.3099 Å, b = 7.3099 Å, c = 7.3099 Å
α = 155.86°, β = 148.99°, γ = 39.68°
Element x y z (fractional)
Er: 0.0000 0.0000 0.0000
Se: 0.1789 0.6789 0.5000
F: 0.5001 0.5001 0.0000
F: 0.8913 0.3913 0.5000

---

Entry 7:
Computed, not measured: an optimized crystal structure of ErSeF2 at the PBE level of DFT.

Output
The value obtained for the relative energy among the computed polymorphs is 0.00 eV per formula unit. The value obtained for the density of states at the Fermi level is 0.541 states/eV per atom. As for the crystal system: trigonal. For the raw formation energy, the calculation gives -2705 meV per atom. The calculation puts the uncorrected energy at -5.6529 eV/atom.

a = 6.0152 Å, b = 6.0152 Å, c = 6.0152 Å
α = 36.77°, β = 36.77°, γ = 36.77°
Element x y z (fractional)
Er: 0.0000 0.0000 0.0000
Se: 0.5000 0.5000 0.5000
F: 0.3016 0.3016 0.3016
F: 0.6984 0.6984 0.6984

---

Entry 8:
Computed, not measured: an optimized crystal structure of Er2Se2F3 at the PBE level of DFT.

Output
The value obtained for the density of states at the Fermi level is 0.284 states/eV per atom. As for the crystal system: monoclinic. For the raw formation energy, the calculation gives -2800 meV per atom. The calculation puts the uncorrected energy at -5.9013 eV/atom.

a = 5.5695 Å, b = 5.5695 Å, c = 7.1066 Å
α = 116.30°, β = 116.30°, γ = 38.71°
Element x y z (fractional)
Er: 0.1641 0.1641 0.2320
Er: 0.8359 0.8359 0.7680
Se: 0.1325 0.1325 0.7898
Se: 0.8675 0.8675 0.2102
F: 0.3372 0.3372 0.5845
F: 0.5000 0.5000 0.0000
F: 0.6628 0.6628 0.4155

---

Entry 9:
Computed, not measured: an optimized crystal structure of Er4Se5F2 at the PBE level of DFT.

Output
The value obtained for the density of states at the Fermi level is 0.000 states/eV per atom. As for the crystal system: monoclinic. For the raw formation energy, the calculation gives -2327 meV per atom. The calculation puts the uncorrected energy at -5.9100 eV/atom.

a = 9.5736 Å, b = 9.5736 Å, c = 8.8619 Å
α = 104.40°, β = 104.40°, γ = 24.19°
Element x y z (fractional)
Er: 0.0262 0.0262 0.2400
Er: 0.3354 0.3354 0.4542
Er: 0.6646 0.6646 0.5458
Er: 0.9738 0.9738 0.7600
Se: 0.1098 0.1098 0.6986
Se: 0.1834 0.1834 0.3247
Se: 0.5000 0.5000 0.0000
Se: 0.8166 0.8166 0.6753
Se: 0.8902 0.8902 0.3014
F: 0.4489 0.4489 0.6352
F: 0.5511 0.5511 0.3648

---

Entry 10:
Computed, not measured: an optimized crystal structure of SmEr3F at the PBE level of DFT.

Output
The value obtained for the density of states at the Fermi level is 1.114 states/eV per atom. As for the crystal system: cubic. For the raw formation energy, the calculation gives -904 meV per atom. The calculation puts the uncorrected energy at -4.9601 eV/atom.

a = 5.0236 Å, b = 5.0236 Å, c = 5.0236 Å
α = 90.00°, β = 90.00°, γ = 90.00°
Element x y z (fractional)
Sm: 0.0000 0.0000 0.0000
Er: 0.0000 0.5000 0.5000
Er: 0.5000 0.0000 0.5000
Er: 0.5000 0.5000 0.0000
F: 0.5000 0.5000 0.5000

---

Entry 11:
Computed, not measured: an optimized crystal structure of Sm2ErF11 at the PBE level of DFT.

Output
The value obtained for the density of states at the Fermi level is 0.794 states/eV per atom. As for the crystal system: orthorhombic. For the raw formation energy, the calculation gives -3431 meV per atom. The calculation puts the uncorrected energy at -5.9010 eV/atom.

a = 8.7316 Å, b = 8.7316 Å, c = 8.7316 Å
α = 121.30°, β = 107.35°, γ = 100.49°
Element x y z (fractional)
Sm: 0.1904 0.1631 0.3535
Sm: 0.3096 0.6631 0.9726
Sm: 0.6904 0.3369 0.0274
Sm: 0.8096 0.8369 0.6465
Er: 0.2500 0.7500 0.5000
Er: 0.7500 0.2500 0.5000
F: 0.0000 0.0000 0.0000
F: 0.0216 0.4529 0.7672
F: 0.0615 0.8334 0.6245
F: 0.1857 0.9529 0.4313
F: 0.1894 0.8927 0.0821
F: 0.2089 0.4370 0.3755
F: 0.2911 0.6666 0.2281
F: 0.3106 0.3927 0.7033
F: 0.3143 0.7456 0.7672
F: 0.4385 0.0630 0.7719
F: 0.4784 0.2456 0.4313
F: 0.5000 0.5000 0.0000
F: 0.5216 0.7544 0.5687
F: 0.5615 0.9370 0.2281
F: 0.6857 0.2544 0.2328
F: 0.6894 0.6073 0.2967
F: 0.7089 0.3334 0.7719
F: 0.7911 0.5630 0.6245
F: 0.8106 0.1073 0.9179
F: 0.8143 0.0471 0.5687
F: 0.9385 0.1666 0.3755
F: 0.9784 0.5471 0.2328

---

Entry 12:
Computed, not measured: an optimized crystal structure of Sm2ErF at the PBE level of DFT.

Output
The value obtained for the density of states at the Fermi level is 0.760 states/eV per atom. As for the crystal system: trigonal. For the raw formation energy, the calculation gives -1136 meV per atom. The calculation puts the uncorrected energy at -5.1041 eV/atom.

a = 8.8230 Å, b = 8.8230 Å, c = 8.8230 Å
α = 24.51°, β = 24.51°, γ = 24.51°
Element x y z (fractional)
Sm: 0.2234 0.2234 0.2234
Sm: 0.7766 0.7766 0.7766
Er: 0.0000 0.0000 0.0000
F: 0.5000 0.5000 0.5000